# AlSnPd2 | the Alexandria database | PBE | relaxed
data_AlSnPd2
_cell_length_a 7.2134
_cell_length_b 7.2134
_cell_length_c 5.6695
_cell_angle_alpha 90.00
_cell_angle_beta 90.00
_cell_angle_gamma 90.00
_symmetry_space_group_name_H-M 'I -4 2 d'
_symmetry_Int_Tables_number 122
_symmetry_space_group_name_Hall 'I -4 2bw'
loop_
_atom_site_label
_atom_site_fract_x
_atom_site_fract_y
_atom_site_fract_z
Al1 0.0000 0.0000 0.0000
Sn1 0.0000 0.0000 0.5000
Pd1 0.2062 0.7500 0.1250
# - Volume: 295.00 Å³/cell
# - Formation enthalpy at 0 K: -331 meV per atom
# - VASP energy: -0.179 hartree per atom
# - Density of states at the Fermi level: 0.40 states/eV per atom



# Al2Sn5Pd12 | the Alexandria database | PBE | relaxed
data_Al2Sn5Pd12
_cell_length_a 13.3589
_cell_length_b 7.3684
_cell_length_c 6.7244
_cell_angle_alpha 90.00
_cell_angle_beta 97.53
_cell_angle_gamma 90.00
_symmetry_space_group_name_H-M 'C 1 2/m 1'
_symmetry_Int_Tables_number 12
loop_
_symmetry_equiv_pos_as_xyz
'x,y,z'
'-x,-y,-z'
'-x,y,-z'
'x,-y,z'
'x+1/2,y+1/2,z'
'-x+1/2,-y+1/2,-z'
'-x+1/2,y+1/2,-z'
'x+1/2,-y+1/2,z'
loop_
_atom_site_label
_atom_site_fract_x
_atom_site_fract_y
_atom_site_fract_z
Al1 0.0000 0.2064 0.0000
Sn1 0.0000 0.0000 0.5000
Sn2 0.1705 0.5000 0.9326
Sn3 0.2469 0.0000 0.5590
Pd1 0.0369 0.5000 0.2137
Pd2 0.1055 0.3034 0.5847
Pd3 0.1248 0.0000 0.8594
Pd4 0.1813 0.2051 0.2060
# - Volume: 656.21 Å³/cell
# - Formation enthalpy at 0 K: -510 meV per atom
# - VASP energy: -0.192 hartree per atom
# - Density of states at the Fermi level: 0.34 states/eV per atom



# AlSnPd6 | the Alexandria database | PBE | relaxed
data_AlSnPd6
_cell_length_a 7.5815
_cell_length_b 5.4653
_cell_length_c 7.3300
_cell_angle_alpha 90.00
_cell_angle_beta 111.36
_cell_angle_gamma 90.00
_symmetry_space_group_name_H-M 'C 1 2/m 1'
_symmetry_Int_Tables_number 12
loop_
_symmetry_equiv_pos_as_xyz
'x,y,z'
'-x,-y,-z'
'-x,y,-z'
'x,-y,z'
'x+1/2,y+1/2,z'
'-x+1/2,-y+1/2,-z'
'-x+1/2,y+1/2,-z'
'x+1/2,-y+1/2,z'
loop_
_atom_site_label
_atom_site_fract_x
_atom_site_fract_y
_atom_site_fract_z
Al1 0.0000 0.0000 0.0000
Sn1 0.0000 0.5000 0.5000
Pd1 0.1559 0.5000 0.9446
Pd2 0.1839 0.2557 0.2925
# - Volume: 282.85 Å³/cell
# - Formation enthalpy at 0 K: -364 meV per atom
# - VASP energy: -0.192 hartree per atom
# - Density of states at the Fermi level: 0.49 states/eV per atom
# - Relative energy among the computed polymorphs: 0.187 eV/atom



# Al2SnPd | the Alexandria database | PBE | relaxed
data_Al2SnPd
_cell_length_a 4.3030
_cell_length_b 4.3030
_cell_length_c 14.8306
_cell_angle_alpha 90.00
_cell_angle_beta 90.00
_cell_angle_gamma 120.00
_symmetry_space_group_name_H-M 'R 3 m'
_symmetry_Int_Tables_number 160
_symmetry_space_group_name_Hall 'R 3 -2"'
loop_
_atom_site_label
_atom_site_fract_x
_atom_site_fract_y
_atom_site_fract_z
Al1 0.0000 0.0000 0.0000
Al2 0.0000 0.0000 0.2241
Sn1 0.0000 0.0000 0.4364
Pd1 0.0000 0.0000 0.6198
# - Volume: 237.82 Å³/cell
# - Formation enthalpy at 0 K: -290 meV per atom
# - VASP energy: -0.164 hartree per atom
# - Density of states at the Fermi level: 0.31 states/eV per atom



# Al2SnPd | the Alexandria database | PBE | relaxed
data_Al2SnPd
_cell_length_a 4.3224
_cell_length_b 4.3224
_cell_length_c 17.3113
_cell_angle_alpha 90.00
_cell_angle_beta 90.00
_cell_angle_gamma 90.00
_symmetry_space_group_name_H-M 'I -4 2 d'
_symmetry_Int_Tables_number 122
_symmetry_space_group_name_Hall 'I -4 2bw'
loop_
_atom_site_label
_atom_site_fract_x
_atom_site_fract_y
_atom_site_fract_z
Al1 0.1914 0.2500 0.1250
Sn1 0.0000 0.0000 0.5000
Pd1 0.0000 0.0000 0.0000
# - Volume: 323.42 Å³/cell
# - Formation enthalpy at 0 K: -166 meV per atom
# - VASP energy: -0.159 hartree per atom
# - Density of states at the Fermi level: 0.37 states/eV per atom



# AlSnPd3 | the Alexandria database | PBE | relaxed
data_AlSnPd3
_cell_length_a 3.1924
_cell_length_b 7.4968
_cell_length_c 7.3085
_cell_angle_alpha 90.00
_cell_angle_beta 90.00
_cell_angle_gamma 90.00
_symmetry_space_group_name_H-M 'P m m n'
_symmetry_Int_Tables_number 59
loop_
_symmetry_equiv_pos_as_xyz
'x,y,z'
'-x,-y,-z'
'-x+1/2,-y+1/2,z'
'x+1/2,y+1/2,-z'
'x+1/2,-y,-z'
'-x+1/2,y,z'
'-x,y+1/2,-z'
'x,-y+1/2,z'
loop_
_atom_site_label
_atom_site_fract_x
_atom_site_fract_y
_atom_site_fract_z
Al1 0.2500 0.2500 0.0146
Sn1 0.2500 0.2500 0.5866
Pd1 0.2500 0.5535 0.1711
Pd2 0.2500 0.7500 0.7110
# - Volume: 174.91 Å³/cell
# - Formation enthalpy at 0 K: -570 meV per atom
# - VASP energy: -0.192 hartree per atom
# - Density of states at the Fermi level: 0.33 states/eV per atom
# - Relative energy among the computed polymorphs: 0.000 eV/atom



# AlSnPd6 | the Alexandria database | PBE | relaxed
data_AlSnPd6
_cell_length_a 3.9807
_cell_length_b 3.9807
_cell_length_c 7.9316
_cell_angle_alpha 90.00
_cell_angle_beta 90.00
_cell_angle_gamma 90.00
_symmetry_space_group_name_H-M 'P 4/m m m'
_symmetry_Int_Tables_number 123
_symmetry_space_group_name_Hall '-P 4 2'
loop_
_atom_site_label
_atom_site_fract_x
_atom_site_fract_y
_atom_site_fract_z
Al1 0.0000 0.0000 0.0000
Sn1 0.0000 0.0000 0.5000
Pd1 0.0000 0.5000 0.2400
Pd2 0.5000 0.5000 0.0000
Pd3 0.5000 0.5000 0.5000
# - Volume: 125.68 Å³/cell
# - Formation enthalpy at 0 K: -552 meV per atom
# - VASP energy: -0.199 hartree per atom
# - Density of states at the Fermi level: 0.65 states/eV per atom
# - Relative energy among the computed polymorphs: 0.000 eV/atom



# AlSnPd2 | the Alexandria database | PBE | relaxed
data_AlSnPd2
_cell_length_a 6.1944
_cell_length_b 3.2874
_cell_length_c 7.4950
_cell_angle_alpha 90.00
_cell_angle_beta 106.72
_cell_angle_gamma 90.00
_symmetry_space_group_name_H-M 'C 1 m 1'
_symmetry_Int_Tables_number 8
loop_
_symmetry_equiv_pos_as_xyz
'x,y,z'
'x,-y,z'
'x+1/2,y+1/2,z'
'x+1/2,-y+1/2,z'
loop_
_atom_site_label
_atom_site_fract_x
_atom_site_fract_y
_atom_site_fract_z
Al1 0.0000 0.0000 0.0000
Sn1 0.1795 0.0000 0.4997
Pd1 0.1065 0.5000 0.7869
Pd2 0.2530 0.5000 0.2145
# - Volume: 146.17 Å³/cell
# - Formation enthalpy at 0 K: -510 meV per atom
# - VASP energy: -0.185 hartree per atom
# - Density of states at the Fermi level: 0.33 states/eV per atom



# AlSnPd3 | the Alexandria database | PBE | relaxed
data_AlSnPd3
_cell_length_a 4.6085
_cell_length_b 4.6085
_cell_length_c 4.6085
_cell_angle_alpha 90.00
_cell_angle_beta 90.00
_cell_angle_gamma 90.00
_symmetry_space_group_name_H-M 'P m -3 m'
_symmetry_Int_Tables_number 221
_symmetry_space_group_name_Hall '-P 4 2 3'
loop_
_atom_site_label
_atom_site_fract_x
_atom_site_fract_y
_atom_site_fract_z
Al1 0.0000 0.0000 0.0000
Sn1 0.5000 0.5000 0.5000
Pd1 0.0000 0.0000 0.5000
# - Volume: 97.88 Å³/cell
# - Formation enthalpy at 0 K: -68 meV per atom
# - VASP energy: -0.174 hartree per atom
# - Density of states at the Fermi level: 0.47 states/eV per atom
# - Relative energy among the computed polymorphs: 0.503 eV/atom



# Al6SnPd12 | the Alexandria database | PBE | relaxed
data_Al6SnPd12
_cell_length_a 10.9022
_cell_length_b 10.9022
_cell_length_c 9.9164
_cell_angle_alpha 90.00
_cell_angle_beta 90.00
_cell_angle_gamma 120.00
_symmetry_space_group_name_H-M 'R -3'
_symmetry_Int_Tables_number 148
_symmetry_space_group_name_Hall '-R 3'
loop_
_atom_site_label
_atom_site_fract_x
_atom_site_fract_y
_atom_site_fract_z
Al1 0.0452 0.8316 0.1776
Sn1 0.0000 0.0000 0.5000
Pd1 0.0485 0.7958 0.4254
Pd2 0.0563 0.8125 0.9226
# - Volume: 1020.74 Å³/cell
# - Formation enthalpy at 0 K: -531 meV per atom
# - VASP energy: -0.191 hartree per atom
# - Density of states at the Fermi level: 0.27 states/eV per atom



# AlSnPd3 | the Alexandria database | PBE | relaxed
data_AlSnPd3
_cell_length_a 4.9152
_cell_length_b 4.9152
_cell_length_c 4.9152
_cell_angle_alpha 90.00
_cell_angle_beta 90.00
_cell_angle_gamma 90.00
_symmetry_space_group_name_H-M 'P m -3 m'
_symmetry_Int_Tables_number 221
_symmetry_space_group_name_Hall '-P 4 2 3'
loop_
_atom_site_label
_atom_site_fract_x
_atom_site_fract_y
_atom_site_fract_z
Al1 0.0000 0.0000 0.0000
Sn1 0.5000 0.5000 0.5000
Pd1 0.0000 0.5000 0.5000
# - Volume: 118.75 Å³/cell
# - Formation enthalpy at 0 K: 521 meV per atom
# - VASP energy: -0.152 hartree per atom
# - Density of states at the Fermi level: 0.64 states/eV per atom
# - Relative energy among the computed polymorphs: 1.091 eV/atom



# AlSn2Pd2 | the Alexandria database | PBE | relaxed
data_AlSn2Pd2
_cell_length_a 6.8142
_cell_length_b 6.8142
_cell_length_c 4.2484
_cell_angle_alpha 90.00
_cell_angle_beta 90.00
_cell_angle_gamma 90.00
_symmetry_space_group_name_H-M 'P 4/m b m'
_symmetry_Int_Tables_number 127
_symmetry_space_group_name_Hall '-P 4 2ab'
loop_
_atom_site_label
_atom_site_fract_x
_atom_site_fract_y
_atom_site_fract_z
Al1 0.0000 0.0000 0.0000
Sn1 0.1616 0.3384 0.5000
Pd1 0.1515 0.6515 0.0000
# - Volume: 197.27 Å³/cell
# - Formation enthalpy at 0 K: -319 meV per atom
# - VASP energy: -0.174 hartree per atom
# - Density of states at the Fermi level: 0.47 states/eV per atom



# AlSn6Pd12 | the Alexandria database | PBE | relaxed
data_AlSn6Pd12
_cell_length_a 11.8892
_cell_length_b 11.8892
_cell_length_c 8.4121
_cell_angle_alpha 90.00
_cell_angle_beta 90.00
_cell_angle_gamma 120.00
_symmetry_space_group_name_H-M 'R -3'
_symmetry_Int_Tables_number 148
_symmetry_space_group_name_Hall '-R 3'
loop_
_atom_site_label
_atom_site_fract_x
_atom_site_fract_y
_atom_site_fract_z
Al1 0.0000 0.0000 0.0000
Sn1 0.0458 0.2139 0.7366
Pd1 0.0372 0.2243 0.0807
Pd2 0.0584 0.2397 0.4211
# - Volume: 1029.77 Å³/cell
# - Formation enthalpy at 0 K: -475 meV per atom
# - VASP energy: -0.192 hartree per atom
# - Density of states at the Fermi level: 0.41 states/eV per atom



# AlSn2Pd8 | the Alexandria database | PBE | relaxed
data_AlSn2Pd8
_cell_length_a 4.1305
_cell_length_b 7.3858
_cell_length_c 12.0529
_cell_angle_alpha 90.00
_cell_angle_beta 90.00
_cell_angle_gamma 90.00
_symmetry_space_group_name_H-M 'I m m m'
_symmetry_Int_Tables_number 71
_symmetry_space_group_name_Hall '-I 2 2'
loop_
_atom_site_label
_atom_site_fract_x
_atom_site_fract_y
_atom_site_fract_z
Al1 0.0000 0.0000 0.0000
Sn1 0.0000 0.0000 0.3215
Pd1 0.0000 0.2169 0.5000
Pd2 0.0000 0.2595 0.1593
Pd3 0.0000 0.5000 0.3515
# - Volume: 367.70 Å³/cell
# - Formation enthalpy at 0 K: -529 meV per atom
# - VASP energy: -0.197 hartree per atom
# - Density of states at the Fermi level: 0.31 states/eV per atom
# - Relative energy among the computed polymorphs: 0.000 eV/atom



# Al2SnPd8 | the Alexandria database | PBE | relaxed
data_Al2SnPd8
_cell_length_a 14.0371
_cell_length_b 4.0791
_cell_length_c 6.3234
_cell_angle_alpha 90.00
_cell_angle_beta 108.43
_cell_angle_gamma 90.00
_symmetry_space_group_name_H-M 'C 1 2/m 1'
_symmetry_Int_Tables_number 12
loop_
_symmetry_equiv_pos_as_xyz
'x,y,z'
'-x,-y,-z'
'-x,y,-z'
'x,-y,z'
'x+1/2,y+1/2,z'
'-x+1/2,-y+1/2,-z'
'-x+1/2,y+1/2,-z'
'x+1/2,-y+1/2,z'
loop_
_atom_site_label
_atom_site_fract_x
_atom_site_fract_y
_atom_site_fract_z
Al1 0.2101 0.0000 0.1659
Sn1 0.0000 0.5000 0.5000
Pd1 0.0380 0.0000 0.2363
Pd2 0.1027 0.5000 0.9747
Pd3 0.1657 0.0000 0.7431
Pd4 0.1778 0.5000 0.4362
# - Volume: 343.49 Å³/cell
# - Formation enthalpy at 0 K: -611 meV per atom
# - VASP energy: -0.200 hartree per atom
# - Density of states at the Fermi level: 0.31 states/eV per atom
# - Relative energy among the computed polymorphs: 0.000 eV/atom



# AlSnPd4 | the Alexandria database | PBE | relaxed
data_AlSnPd4
_cell_length_a 4.6200
_cell_length_b 8.1464
_cell_length_c 5.3339
_cell_angle_alpha 90.00
_cell_angle_beta 90.00
_cell_angle_gamma 90.00
_symmetry_space_group_name_H-M 'P m n a'
_symmetry_Int_Tables_number 53
loop_
_symmetry_equiv_pos_as_xyz
'x,y,z'
'-x,-y,-z'
'-x+1/2,-y,z+1/2'
'x+1/2,y,-z+1/2'
'x,-y,-z'
'-x,y,z'
'-x+1/2,y,-z+1/2'
'x+1/2,-y,z+1/2'
loop_
_atom_site_label
_atom_site_fract_x
_atom_site_fract_y
_atom_site_fract_z
Al1 0.0000 0.0000 0.0000
Sn1 0.0000 0.5000 0.5000
Pd1 0.0000 0.1584 0.4067
Pd2 0.0000 0.3157 0.9192
# - Volume: 200.75 Å³/cell
# - Formation enthalpy at 0 K: -553 meV per atom
# - VASP energy: -0.195 hartree per atom
# - Density of states at the Fermi level: 0.43 states/eV per atom
# - Relative energy among the computed polymorphs: 0.096 eV/atom



# Al2Sn2Pd | the Alexandria database | PBE | relaxed
data_Al2Sn2Pd
_cell_length_a 7.1016
_cell_length_b 7.1016
_cell_length_c 4.3756
_cell_angle_alpha 90.00
_cell_angle_beta 90.00
_cell_angle_gamma 90.00
_symmetry_space_group_name_H-M 'P 4/m b m'
_symmetry_Int_Tables_number 127
_symmetry_space_group_name_Hall '-P 4 2ab'
loop_
_atom_site_label
_atom_site_fract_x
_atom_site_fract_y
_atom_site_fract_z
Al1 0.1485 0.3515 0.0000
Sn1 0.1561 0.6561 0.5000
Pd1 0.0000 0.0000 0.5000
# - Volume: 220.67 Å³/cell
# - Formation enthalpy at 0 K: 84 meV per atom
# - VASP energy: -0.149 hartree per atom
# - Density of states at the Fermi level: 0.42 states/eV per atom
# - Relative energy among the computed polymorphs: 0.177 eV/atom



# AlSn2Pd9 | the Alexandria database | PBE | relaxed
data_AlSn2Pd9
_cell_length_a 4.0032
_cell_length_b 4.0032
_cell_length_c 11.9600
_cell_angle_alpha 90.00
_cell_angle_beta 90.00
_cell_angle_gamma 90.00
_symmetry_space_group_name_H-M 'P 4/m m m'
_symmetry_Int_Tables_number 123
_symmetry_space_group_name_Hall '-P 4 2'
loop_
_atom_site_label
_atom_site_fract_x
_atom_site_fract_y
_atom_site_fract_z
Al1 0.0000 0.0000 0.0000
Sn1 0.0000 0.0000 0.3279
Pd1 0.0000 0.5000 0.1579
Pd2 0.0000 0.5000 0.5000
Pd3 0.5000 0.5000 0.0000
Pd4 0.5000 0.5000 0.3302
# - Volume: 191.67 Å³/cell
# - Formation enthalpy at 0 K: -535 meV per atom
# - VASP energy: -0.199 hartree per atom
# - Density of states at the Fermi level: 0.57 states/eV per atom



# Al2SnPd8 | the Alexandria database | PBE | relaxed
data_Al2SnPd8
_cell_length_a 4.0987
_cell_length_b 6.9664
_cell_length_c 12.2232
_cell_angle_alpha 90.00
_cell_angle_beta 90.00
_cell_angle_gamma 90.00
_symmetry_space_group_name_H-M 'I m m m'
_symmetry_Int_Tables_number 71
_symmetry_space_group_name_Hall '-I 2 2'
loop_
_atom_site_label
_atom_site_fract_x
_atom_site_fract_y
_atom_site_fract_z
Al1 0.0000 0.0000 0.1877
Sn1 0.0000 0.0000 0.5000
Pd1 0.0000 0.1947 0.0000
Pd2 0.0000 0.2796 0.3371
Pd3 0.0000 0.5000 0.1515
# - Volume: 349.01 Å³/cell
# - Formation enthalpy at 0 K: -601 meV per atom
# - VASP energy: -0.199 hartree per atom
# - Density of states at the Fermi level: 0.18 states/eV per atom
# - Relative energy among the computed polymorphs: 0.010 eV/atom



# SrAlSn2Pd4 | the Alexandria database | PBE | relaxed
data_SrAlSn2Pd4
_cell_length_a 4.5588
_cell_length_b 4.5588
_cell_length_c 27.1009
_cell_angle_alpha 90.00
_cell_angle_beta 90.00
_cell_angle_gamma 120.00
_symmetry_space_group_name_H-M 'R -3 m'
_symmetry_Int_Tables_number 166
_symmetry_space_group_name_Hall '-R 3 2"'
loop_
_atom_site_label
_atom_site_fract_x
_atom_site_fract_y
_atom_site_fract_z
Sr1 0.0000 0.0000 0.0000
Al1 0.0000 0.0000 0.5000
Sn1 0.0000 0.0000 0.2433
Pd1 0.0000 0.0000 0.1395
Pd2 0.0000 0.0000 0.4090
# - Volume: 487.77 Å³/cell
# - Formation enthalpy at 0 K: -682 meV per atom
# - VASP energy: -0.182 hartree per atom
# - Density of states at the Fermi level: 0.60 states/eV per atom